(1)
! Ho5Zn2Cd PBE-GGA optimized geometry; values from VASP
&SYSTEM
  ibrav = 0, nat = 16, ntyp = 3
/
ATOMIC_SPECIES
Ho 164.93 Ho.upf
Zn 65.41 Zn.upf
Cd 112.41 Cd.upf
ATOMIC_POSITIONS crystal
Ho 0.0000 0.0000 0.0000
Ho 0.0059 0.5059 0.8048
Ho 0.2011 0.0059 0.5000
Ho 0.2989 0.7989 0.8048
Ho 0.4941 0.2989 0.5000
Ho 0.5000 0.5000 0.0000
Ho 0.5059 0.7011 0.5000
Ho 0.7011 0.2011 0.1952
Ho 0.7989 0.9941 0.5000
Ho 0.9941 0.4941 0.1952
Zn 0.1403 0.3597 0.5000
Zn 0.3597 0.8597 0.2193
Zn 0.6403 0.1403 0.7807
Zn 0.8597 0.6403 0.5000
Cd 0.2500 0.2500 0.0000
Cd 0.7500 0.7500 0.0000
CELL_PARAMETERS angstrom
-4.0718 4.0718 6.2226
4.0718 -4.0718 6.2226
4.0718 4.0718 -6.2226
! Size of the total moment (μB per cell): 0.00
! Mass density (Mg/m³): 8.6
! D(E_F) (states/eV per cell): 16.28
! Formation energy (eV/atom): -0.216



(2)
! Ho2Zn16Cd PBE-GGA optimized geometry; values from VASP
&SYSTEM
  ibrav = 0, nat = 19, ntyp = 3
/
ATOMIC_SPECIES
Ho 164.93 Ho.upf
Zn 65.41 Zn.upf
Cd 112.41 Cd.upf
ATOMIC_POSITIONS crystal
Ho 0.0000 0.0000 0.0000
Ho 0.3227 0.3227 0.3227
Zn 0.0153 0.0153 0.4990
Zn 0.0153 0.4990 0.0153
Zn 0.1557 0.6663 0.6663
Zn 0.3081 0.3081 0.8290
Zn 0.3081 0.8290 0.3081
Zn 0.3618 0.6627 0.9644
Zn 0.3618 0.9644 0.6627
Zn 0.4990 0.0153 0.0153
Zn 0.6627 0.3618 0.9644
Zn 0.6627 0.9644 0.3618
Zn 0.6663 0.1557 0.6663
Zn 0.6663 0.6663 0.1557
Zn 0.7708 0.7708 0.7708
Zn 0.8290 0.3081 0.3081
Zn 0.9644 0.3618 0.6627
Zn 0.9644 0.6627 0.3618
Cd 0.5641 0.5641 0.5641
CELL_PARAMETERS angstrom
4.5100 2.6038 4.4069
-4.5100 2.6038 4.4069
0.0000 -5.2076 4.4069
! Size of the total moment (μB per cell): 0.00
! Mass density (Mg/m³): 8.0
! D(E_F) (states/eV per cell): 3.85
! Formation energy (eV/atom): -0.215



(3)
! HoZn2Cd PBE-GGA optimized geometry; values from VASP
&SYSTEM
  ibrav = 0, nat = 8, ntyp = 3
/
ATOMIC_SPECIES
Ho 164.93 Ho.upf
Zn 65.41 Zn.upf
Cd 112.41 Cd.upf
ATOMIC_POSITIONS crystal
Ho 0.0931 0.9069 0.7500
Ho 0.9069 0.0931 0.2500
Zn 0.2701 0.7299 0.2500
Zn 0.4710 0.5290 0.7500
Zn 0.5290 0.4710 0.2500
Zn 0.7299 0.2701 0.7500
Cd 0.3391 0.6609 0.7500
Cd 0.6609 0.3391 0.2500
CELL_PARAMETERS angstrom
1.7383 -10.2779 0.0000
1.7383 10.2779 0.0000
0.0000 0.0000 4.6103
! Size of the total moment (μB per cell): 0.00
! Mass density (Mg/m³): 8.2
! Polymorph energy (0 for the lowest one) (meV per atom): 47
! D(E_F) (states/eV per cell): 4.43
! Formation energy (eV/atom): -0.241



(4)
! Ho4ZnCd3 PBE-GGA optimized geometry; values from VASP
&SYSTEM
  ibrav = 0, nat = 8, ntyp = 3
/
ATOMIC_SPECIES
Ho 164.93 Ho.upf
Zn 65.41 Zn.upf
Cd 112.41 Cd.upf
ATOMIC_POSITIONS crystal
Ho 0.0000 0.0000 0.1137
Ho 0.0000 0.0000 0.3718
Ho 0.0000 0.0000 0.6282
Ho 0.0000 0.0000 0.8863
Zn 0.5000 0.5000 0.0000
Cd 0.5000 0.5000 0.2437
Cd 0.5000 0.5000 0.5000
Cd 0.5000 0.5000 0.7563
CELL_PARAMETERS angstrom
3.6572 0.0000 0.0000
0.0000 3.6572 0.0000
0.0000 0.0000 14.9559
! Size of the total moment (μB per cell): 0.00
! Mass density (Mg/m³): 8.8
! Polymorph energy (0 for the lowest one) (meV per atom): 0
! D(E_F) (states/eV per cell): 9.13
! Formation energy (eV/atom): -0.320